First-principles (PBE) data for a relaxed NpTe2Rh crystal, as listed in Alexandria.

Cell: 3.632 3.632 9.755 Å, 79.27 79.27 60.00°
Last column: magnetic moment on the atom in μB.
Atoms (fractional coordinates):
Np (0.000, 0.000, 0.000)  4.52
Te (0.109, 0.109, 0.672)  -0.01
Te (0.891, 0.891, 0.328)  -0.01
Rh (0.500, 0.500, 0.500)  0.03

Calculated values
Raw formation energy in kJ per mole of atoms: 11

First-principles (PBE) data for a relaxed CdBrNF2 crystal, as listed in Alexandria.

Cell: 4.806 4.806 3.719 Å, 90.00 90.00 90.00°
Atoms (fractional coordinates):
N (0.000, 0.000, 0.500)
F (0.000, 0.500, 0.000)
F (0.500, 0.000, 0.000)
Br (0.000, 0.000, 0.000)
Cd (0.500, 0.500, 0.500)

Calculated values
Raw formation energy in kJ per mole of atoms: 29
Relative energy among the computed polymorphs in eV per atom: 0.290

First-principles (PBE) data for a relaxed TcMoP4 crystal, as listed in Alexandria.

Cell: 4.889 4.889 4.889 Å, 60.00 60.00 60.00°
Atoms (fractional coordinates):
Tc (0.750, 0.750, 0.750)
Mo (0.000, 0.000, 0.000)
P (0.876, 0.375, 0.375)
P (0.375, 0.375, 0.876)
P (0.375, 0.876, 0.375)
P (0.375, 0.375, 0.375)

Calculated values
ΔE_f in eV per atom: 0.7389

First-principles (PBE) data for a relaxed CuMo2Ru crystal, as listed in Alexandria.

Cell: 4.805 4.805 4.805 Å, 133.29 133.29 68.21°
Atoms (fractional coordinates):
Cu (0.750, 0.250, 0.500)
Mo (0.000, 0.000, 0.000)
Mo (0.500, 0.500, 0.000)
Ru (0.250, 0.750, 0.500)

Calculated values
ΔE_f in eV per atom: 0.1830
Relative energy among the computed polymorphs in eV per atom: 0.072

First-principles (PBE) data for a relaxed Zn3PdF crystal, as listed in Alexandria.

Cell: 4.816 4.816 4.816 Å, 90.00 90.00 90.00°
Atoms (fractional coordinates):
Zn (0.000, 0.500, 0.000)
Zn (0.000, 0.000, 0.500)
Zn (0.500, 0.000, 0.000)
Pd (0.000, 0.000, 0.000)
F (0.500, 0.500, 0.500)

Calculated values
Raw formation energy in kJ per mole of atoms: -25
Relative energy among the computed polymorphs in eV per atom: 0.059

First-principles (PBE) data for a relaxed Ba3AlGa crystal, as listed in Alexandria.

Cell: 6.362 6.362 6.362 Å, 90.00 90.00 90.00°
Last column: magnetic moment on the atom in μB.
Atoms (fractional coordinates):
Ba (0.000, 0.500, 0.000)  0.13
Ba (0.000, 0.000, 0.500)  0.08
Ba (0.500, 0.000, 0.000)  0.16
Ga (0.000, 0.000, 0.000)  0.16
Al (0.500, 0.500, 0.500)  0.14

Calculated values
ΔE_f in eV per atom: 0.1990
Relative energy among the computed polymorphs in eV per atom: 0.398

First-principles (PBE) data for a relaxed TaInBr2 crystal, as listed in Alexandria.

Cell: 5.468 5.468 3.323 Å, 90.00 90.00 90.00°
Last column: magnetic moment on the atom in μB.
Atoms (fractional coordinates):
In (0.500, 0.000, 0.500)  0.05
Br (0.000, 0.000, 0.000)  0.01
Br (0.500, 0.500, 0.000)  0.01
Ta (0.000, 0.500, 0.500)  1.73

Calculated values
Raw formation energy in kJ per mole of atoms: 57
Relative energy among the computed polymorphs in eV per atom: 0.843

First-principles (PBE) data for a relaxed LiTcGe crystal, as listed in Alexandria.

Cell: 3.243 3.243 4.552 Å, 110.87 110.87 90.00°
Atoms (fractional coordinates):
Ge (0.943, 0.943, 0.886)
Tc (0.288, 0.288, 0.577)
Li (0.619, 0.619, 0.238)

Calculated values
ΔE_f in eV per atom: 0.0187
Relative energy among the computed polymorphs in eV per atom: 0.227